No. 1
{
  "formula": "MoPb2",
  "functional": "PBE-GGA",
  "state": "relaxed",
  "ef_mev_per_atom": 616,
  "de_polymorph_mev_per_atom": 218,
  "cell": [[-1.543, 1.544, 16.857], [1.543, -1.544, 16.857], [1.543, 1.544, -16.857]],
  "species": ["Mo", "Mo", "Pb", "Pb", "Pb", "Pb"],
  "frac_coords": [[0.375, 0.125, 0.250], [0.625, 0.875, 0.750], [0.059, 0.309, 0.750], [0.190, 0.440, 0.750], [0.810, 0.560, 0.250], [0.941, 0.691, 0.250]]
}

No. 2
{
  "formula": "Pm2MgTl2",
  "functional": "PBE-GGA",
  "state": "relaxed",
  "ef_mev_per_atom": -319,
  "de_polymorph_mev_per_atom": 0,
  "cell": [[7.796, 0.000, 0.000], [0.000, 7.796, 0.000], [0.000, 0.000, 4.771]],
  "species": ["Pm", "Pm", "Pm", "Pm", "Mg", "Mg", "Tl", "Tl", "Tl", "Tl"],
  "frac_coords": [[0.167, 0.333, 0.000], [0.333, 0.833, 0.000], [0.667, 0.167, 0.000], [0.833, 0.667, 0.000], [0.000, 0.000, 0.500], [0.500, 0.500, 0.500], [0.139, 0.639, 0.500], [0.361, 0.139, 0.500], [0.639, 0.861, 0.500], [0.861, 0.361, 0.500]]
}

No. 3
{
  "formula": "NpVI6",
  "functional": "PBE-GGA",
  "state": "relaxed",
  "cell": [[3.918, -6.820, 0.000], [3.918, 6.820, 0.000], [-0.127, 0.000, 7.165]],
  "species": ["Np", "V", "I", "I", "I", "I", "I", "I"],
  "frac_coords": [[0.000, 0.000, 0.000], [0.000, 0.000, 0.500], [0.001, 0.294, 0.276], [0.294, 0.001, 0.276], [0.294, 0.294, 0.732], [0.706, 0.706, 0.268], [0.706, 0.999, 0.724], [0.999, 0.706, 0.724]]
}

No. 4
{
  "formula": "RbHgGe2O6",
  "functional": "PBE-GGA",
  "state": "relaxed",
  "cell": [[5.577, -6.192, 0.000], [5.577, 6.192, 0.000], [-0.795, 0.000, 5.154]],
  "species": ["Rb", "Rb", "Hg", "Hg", "Ge", "Ge", "Ge", "Ge", "O", "O", "O", "O", "O", "O", "O", "O", "O", "O", "O", "O"],
  "frac_coords": [[0.111, 0.889, 0.750], [0.889, 0.111, 0.250], [0.320, 0.680, 0.250], [0.680, 0.320, 0.750], [0.219, 0.371, 0.792], [0.371, 0.219, 0.292], [0.629, 0.781, 0.708], [0.781, 0.629, 0.208], [0.037, 0.246, 0.774], [0.201, 0.577, 0.900], [0.246, 0.037, 0.274], [0.295, 0.383, 0.481], [0.383, 0.295, 0.981], [0.423, 0.799, 0.600], [0.577, 0.201, 0.400], [0.617, 0.705, 0.019], [0.705, 0.617, 0.519], [0.754, 0.963, 0.726], [0.799, 0.423, 0.100], [0.963, 0.754, 0.226]]
}

| no. | raw total energy (eV per atom) | calculated volume (Å³/cell) |
| --- | --- | --- |
| 1 | -5.47 | 161 |
| 2 | -3.48 | 290 |
| 3 | -4.62 | 383 |
| 4 | -5.23 | 356 |